# 1
K3Ba: optimized geometry, PBE-GGA.

Lattice parameters (Å, degrees): 8.6380 8.6380 8.6380 117.10 117.10 117.10
With the nearest neighbours (Å) after each atom.
Fractional positions:
K (0.0000, 0.5000, 0.5000)  6 K 4.46-4.51, 2 Ba 4.51
K (0.5000, 0.0000, 0.5000)  6 K 4.46-4.51, 2 Ba 4.51
K (0.5000, 0.5000, 0.0000)  6 K 4.46-4.51, 2 Ba 4.51
Ba (0.0000, 0.0000, 0.0000)  2 Ba 4.46, 6 K 4.51

Summary:
**Formation energy from the elements**: 8.8 kJ per mole of atoms
**Total magnetization**: 0.00 μB per formula unit

# 2
NaHfPaS4: optimized geometry, PBE-GGA.

Lattice parameters (Å, degrees): 7.8651 7.8651 7.8651 122.59 115.93 91.39
With the nearest neighbours (Å) after each atom.
Fractional positions:
Na (0.3951, 0.1451, 0.2500)  4 S 2.68
Na (0.6049, 0.8549, 0.7500)  4 S 2.68
Hf (0.0000, 0.0000, 0.5000)  6 S 2.58
Hf (0.0000, 0.5000, 0.0000)  6 S 2.58
Pa (0.0000, 0.5000, 0.5000)  6 S 2.74
Pa (0.5000, 0.5000, 0.0000)  6 S 2.74
S (0.2085, 0.7472, 0.4613)  2 Hf 2.58, 1 Na 2.68, 1 Pa 2.74
S (0.2141, 0.2528, 0.9613)  2 Hf 2.58, 1 Na 2.68, 1 Pa 2.74
S (0.2348, 0.2516, 0.5168)  1 Hf 2.58, 1 Na 2.68, 2 Pa 2.74
S (0.2348, 0.7180, 0.9832)  1 Hf 2.58, 1 Na 2.68, 2 Pa 2.74
S (0.7652, 0.2820, 0.0168)  1 Hf 2.58, 1 Na 2.68, 2 Pa 2.74
S (0.7652, 0.7484, 0.4832)  1 Hf 2.58, 1 Na 2.68, 2 Pa 2.74
S (0.7859, 0.7472, 0.0387)  2 Hf 2.58, 1 Na 2.68, 1 Pa 2.74
S (0.7915, 0.2528, 0.5387)  2 Hf 2.58, 1 Na 2.68, 1 Pa 2.74

Summary:
**E_form (uncorrected)**: -1009 kJ/mol of formula units
**Total magnetization**: 1.23 μB per formula unit

# 3
KTiPS2: optimized geometry, PBE-GGA.

Lattice parameters (Å, degrees): 5.2110 5.2110 5.0093 90.00 90.00 90.00
With the nearest neighbours (Å) after each atom.
Fractional positions:
K (0.0000, 0.0000, 0.0000)  2 P 2.50, 4 S 2.61
Ti (0.5000, 0.5000, 0.5000)  8 S 3.61, 4 P 3.68
P (0.0000, 0.0000, 0.5000)  2 K 2.50
S (0.0000, 0.5000, 0.0000)  2 K 2.61
S (0.5000, 0.0000, 0.0000)  2 K 2.61

Summary:
**E_form (uncorrected)**: 686 kJ/mol of formula units
**Energy relative to the lowest polymorph listed for this composition**: 2088 meV/atom
**Total magnetization**: 0.83 μB per formula unit

# 4
Gd2HoCu: optimized geometry, PBE-GGA.

Lattice parameters (Å, degrees): 3.5306 3.5306 8.6153 90.00 90.00 90.00
With the nearest neighbours (Å) after each atom.
Fractional positions:
Gd (0.0000, 0.0000, 0.2012)  4 Cu 3.04
Gd (0.0000, 0.0000, 0.7988)  4 Cu 3.04
Ho (0.5000, 0.5000, 0.5000)  4 Ho 3.53, 8 Gd 3.59
Cu (0.5000, 0.5000, 0.0000)  8 Gd 3.04

Summary:
**Energy relative to the lowest polymorph listed for this composition**: 0 meV/atom
**Formation energy from the elements**: -7.3 kJ per mole of atoms
**Total magnetization**: 14.72 μB per formula unit

# 5
PmNdGePd: optimized geometry, PBE-GGA.

Lattice parameters (Å, degrees): 4.3624 5.9545 5.9545 40.34 90.00 90.00
With the nearest neighbours (Å) after each atom.
Fractional positions:
Pm (0.0000, 0.0000, 0.0000)  4 Pd 3.07, 3 Ge 3.16-3.18
Nd (0.5000, 0.2764, 0.2764)  4 Ge 3.07, 3 Pd 3.16-3.18
Ge (0.0000, 0.7171, 0.7171)  2 Pd 2.81, 4 Nd 3.07
Pd (0.5000, 0.5593, 0.5593)  2 Ge 2.81, 4 Pm 3.07

Summary:
**Energy relative to the lowest polymorph listed for this composition**: 0 meV/atom
**Formation energy from the elements**: -79.4 kJ per mole of atoms
**Total magnetization**: 0.00 μB per formula unit

# 6
KSr2InFe: optimized geometry, PBE-GGA.

Lattice parameters (Å, degrees): 5.9415 5.9415 5.2608 90.00 90.00 90.00
With the nearest neighbours (Å) after each atom.
Fractional positions:
K (0.0000, 0.0000, 0.0000)  8 Sr 3.97, 4 In 4.20
Sr (0.0000, 0.5000, 0.5000)  2 Fe 2.97
Sr (0.5000, 0.0000, 0.5000)  2 Fe 2.97
In (0.5000, 0.5000, 0.0000)  2 Fe 2.63
Fe (0.5000, 0.5000, 0.5000)  2 In 2.63

Summary:
**Formation energy from the elements**: 21.7 kJ per mole of atoms
**Total magnetization**: 1.51 μB per formula unit

# 7
Ga2BiAs: optimized geometry, PBE-GGA.

Lattice parameters (Å, degrees): 4.3026 4.3026 6.1391 90.00 90.00 90.00
With the nearest neighbours (Å) after each atom.
Fractional positions:
Ga (0.0000, 0.5000, 0.2250)  2 As 2.56, 2 Bi 2.73
Ga (0.5000, 0.0000, 0.7750)  2 As 2.56, 2 Bi 2.73
Bi (0.5000, 0.5000, 0.5000)  4 Ga 2.73
As (0.0000, 0.0000, 0.0000)  4 Ga 2.56

Summary:
**Energy relative to the lowest polymorph listed for this composition**: 32 meV/atom
**Formation energy from the elements**: -10.4 kJ per mole of atoms
**Total magnetization**: 0.00 μB per formula unit

# 8
ThRuAu: optimized geometry, PBE-GGA.

Lattice parameters (Å, degrees): 5.4021 5.4021 5.4021 140.03 140.03 57.81
With the nearest neighbours (Å) after each atom.
Fractional positions:
Th (0.0000, 0.0000, 0.0000)  4 Ru 2.93, 5 Au 2.98-3.14
Ru (0.3593, 0.3593, 0.0000)  4 Th 2.93, 5 Au 3.08-3.09
Au (0.6845, 0.6845, 0.0000)  5 Th 2.98-3.14, 5 Ru 3.08-3.09

Summary:
**Energy relative to the lowest polymorph listed for this composition**: 218 meV/atom
**Formation energy from the elements**: -26.7 kJ per mole of atoms
**Total magnetization**: 0.00 μB per formula unit

# 9
RbHfIr2: optimized geometry, PBE-GGA.

Lattice parameters (Å, degrees): 6.2288 6.2288 6.2288 103.84 103.84 121.45
With the nearest neighbours (Å) after each atom.
Fractional positions:
Rb (0.0000, 0.0000, 0.0000)  2 Hf 3.05, 8 Ir 3.06-3.38
Rb (0.7500, 0.2500, 0.5000)  2 Hf 3.05, 8 Ir 3.06-3.38
Hf (0.2500, 0.7500, 0.5000)  4 Ir 2.60
Hf (0.5000, 0.5000, 0.0000)  4 Ir 2.60
Ir (0.1696, 0.6250, 0.0446)  2 Hf 2.60
Ir (0.3750, 0.4196, 0.5446)  2 Hf 2.60
Ir (0.5804, 0.1250, 0.9554)  2 Hf 2.60
Ir (0.8750, 0.8304, 0.4554)  2 Hf 2.60

Summary:
**Energy relative to the lowest polymorph listed for this composition**: 36 meV/atom
**Formation energy from the elements**: 63.5 kJ per mole of atoms
**Total magnetization**: 0.00 μB per formula unit

# 10
PmNdMgZn: optimized geometry, PBE-GGA.

Lattice parameters (Å, degrees): 3.7252 3.7252 7.7624 90.00 90.00 90.00
With the nearest neighbours (Å) after each atom.
Fractional positions:
Pm (0.0000, 0.0000, 0.0000)  4 Zn 3.15, 4 Mg 3.37, 1 Nd 3.51
Nd (0.0000, 0.0000, 0.4521)  4 Zn 3.18, 4 Mg 3.40, 1 Pm 3.51
Mg (0.5000, 0.5000, 0.7285)  4 Pm 3.37, 4 Nd 3.40, 4 Mg 3.73
Zn (0.5000, 0.5000, 0.2218)  4 Pm 3.15, 4 Nd 3.18

Summary:
**Energy relative to the lowest polymorph listed for this composition**: 0 meV/atom
**Formation energy from the elements**: -20.3 kJ per mole of atoms
**Total magnetization**: 0.00 μB per formula unit

# 11
P2PtCO: optimized geometry, PBE-GGA.

Lattice parameters (Å, degrees): 4.7668 4.7668 3.7411 90.00 90.00 90.00
With the nearest neighbours (Å) after each atom.
Fractional positions:
P (0.0000, 0.5000, 0.0000)  2 Pt 2.38
P (0.5000, 0.0000, 0.0000)  2 Pt 2.38
Pt (0.0000, 0.0000, 0.0000)  2 O 1.87
C (0.5000, 0.5000, 0.5000)  8 P 3.03, 4 O 3.37
O (0.0000, 0.0000, 0.5000)  2 Pt 1.87

Summary:
**E_form (uncorrected)**: 830 kJ/mol of formula units
**Energy relative to the lowest polymorph listed for this composition**: 916 meV/atom
**Total magnetization**: 0.95 μB per formula unit

# 12
MgGa2Cu2: optimized geometry, PBE-GGA.

Lattice parameters (Å, degrees): 7.3334 7.3334 2.8989 90.00 90.00 90.00
With the nearest neighbours (Å) after each atom.
Fractional positions:
Mg (0.0000, 0.0000, 0.0000)  2 Mg 2.90, 4 Cu 2.91, 8 Ga 3.07
Mg (0.5000, 0.5000, 0.0000)  2 Mg 2.90, 4 Cu 2.91, 8 Ga 3.07
Ga (0.1736, 0.3264, 0.5000)  6 Cu 2.56-2.64
Ga (0.3264, 0.8264, 0.5000)  6 Cu 2.56-2.64
Ga (0.6736, 0.1736, 0.5000)  6 Cu 2.56-2.64
Ga (0.8264, 0.6736, 0.5000)  6 Cu 2.56-2.64
Cu (0.1227, 0.6227, 0.0000)  1 Cu 2.55, 6 Ga 2.56-2.64
Cu (0.3773, 0.1227, 0.0000)  1 Cu 2.55, 6 Ga 2.56-2.64
Cu (0.6227, 0.8773, 0.0000)  1 Cu 2.55, 6 Ga 2.56-2.64
Cu (0.8773, 0.3773, 0.0000)  1 Cu 2.55, 6 Ga 2.56-2.64

Summary:
**Energy relative to the lowest polymorph listed for this composition**: 21 meV/atom
**Formation energy from the elements**: -5.8 kJ per mole of atoms
**Total magnetization**: 0.00 μB per formula unit

Respective calculated total energy values: -4.85; -95.48; -15.54; -37.14; -22.62; -14.54; -15.02; -20.80; -52.02; -13.23; -22.44; -32.28 eV per cell.